Record 1
# SrTl3S | the Alexandria database | PBE-GGA | optimized geometry
# Magnetic moment = 0.0 Bohr magnetons per cell
# Raw formation energy = 0.71 eV/atom
# Raw total energy = -1.871 eV/atom
# Calculated density = 5.2 Mg/m³
# Relative energy among the computed polymorphs = 747.6 meV per atom
data_SrTl3S
_chemical_formula_sum 'Sr1 Tl3 S1'
_cell_length_a 6.167
_cell_length_b 6.167
_cell_length_c 6.167
_cell_angle_alpha 90.00
_cell_angle_beta 90.00
_cell_angle_gamma 90.00
_symmetry_space_group_name_H-M 'P 1'
_symmetry_Int_Tables_number 1
loop_
_symmetry_equiv_pos_as_xyz
'x,y,z'
loop_
_atom_site_label
_atom_site_type_symbol
_atom_site_fract_x
_atom_site_fract_y
_atom_site_fract_z
Sr1 Sr 0.000 0.000 0.000
Tl1 Tl 0.000 0.000 0.500
Tl2 Tl 0.000 0.500 0.000
Tl3 Tl 0.500 0.000 0.000
S1 S 0.500 0.500 0.500


Record 2
# KTa2In | the Alexandria database | PBE-GGA | optimized geometry
# Magnetic moment = 0.0 Bohr magnetons per cell
# Energy of formation from the pure elements = 730 meV/atom
# Raw total energy = -6.156 eV/atom
# Calculated density = 8.0 Mg/m³
data_KTa2In
_chemical_formula_sum 'K1 Ta2 In1'
_cell_length_a 4.928
_cell_length_b 4.928
_cell_length_c 7.868
_cell_angle_alpha 93.56
_cell_angle_beta 93.56
_cell_angle_gamma 34.23
_symmetry_space_group_name_H-M 'P 1'
_symmetry_Int_Tables_number 1
loop_
_symmetry_equiv_pos_as_xyz
'x,y,z'
loop_
_atom_site_label
_atom_site_type_symbol
_atom_site_fract_x
_atom_site_fract_y
_atom_site_fract_z
K1 K 0.000 0.000 0.000
Ta1 Ta 0.229 0.229 0.663
Ta2 Ta 0.499 0.499 0.528
In1 In 0.758 0.758 0.321


Record 3
# Sc6AlPd5 | the Alexandria database | PBE-GGA | optimized geometry
# Magnetic moment = 0.0 Bohr magnetons per cell
# Energy of formation from the pure elements = -818 meV/atom
# Raw total energy = -6.460 eV/atom
# Calculated density = 6.2 Mg/m³
data_Sc6AlPd5
_chemical_formula_sum 'Sc6 Al1 Pd5'
_cell_length_a 4.712
_cell_length_b 6.579
_cell_length_c 7.502
_cell_angle_alpha 90.00
_cell_angle_beta 107.90
_cell_angle_gamma 90.00
_symmetry_space_group_name_H-M 'P 1'
_symmetry_Int_Tables_number 1
loop_
_symmetry_equiv_pos_as_xyz
'x,y,z'
loop_
_atom_site_label
_atom_site_type_symbol
_atom_site_fract_x
_atom_site_fract_y
_atom_site_fract_z
Sc1 Sc 0.000 0.240 0.000
Sc2 Sc 0.000 0.760 0.000
Sc3 Sc 0.329 0.250 0.661
Sc4 Sc 0.329 0.750 0.661
Sc5 Sc 0.671 0.250 0.339
Sc6 Sc 0.671 0.750 0.339
Al1 Al 0.500 0.500 0.000
Pd1 Pd 0.154 0.500 0.302
Pd2 Pd 0.172 0.000 0.339
Pd3 Pd 0.500 0.000 0.000
Pd4 Pd 0.828 0.000 0.661
Pd5 Pd 0.846 0.500 0.698


Record 4
# Ta2TcSb | the Alexandria database | PBE-GGA | optimized geometry
# Magnetic moment = 0.0 Bohr magnetons per cell
# Raw formation energy = 0.06 eV/atom
# Raw total energy = -9.489 eV/atom
# Calculated density = 13.0 Mg/m³
data_Ta2TcSb
_chemical_formula_sum 'Ta2 Tc1 Sb1'
_cell_length_a 3.115
_cell_length_b 3.115
_cell_length_c 7.717
_cell_angle_alpha 90.00
_cell_angle_beta 90.00
_cell_angle_gamma 96.03
_symmetry_space_group_name_H-M 'P 1'
_symmetry_Int_Tables_number 1
loop_
_symmetry_equiv_pos_as_xyz
'x,y,z'
loop_
_atom_site_label
_atom_site_type_symbol
_atom_site_fract_x
_atom_site_fract_y
_atom_site_fract_z
Ta1 Ta 0.000 0.000 0.213
Ta2 Ta 0.000 0.000 0.787
Tc1 Tc 0.500 0.500 0.000
Sb1 Sb 0.500 0.500 0.500


Record 5
# K2LaSi2 | the Alexandria database | PBE-GGA | optimized geometry
# Magnetic moment = 0.3 Bohr magnetons per cell
# Raw formation energy = -0.01 eV/atom
# Raw total energy = -3.600 eV/atom
# Calculated density = 3.1 Mg/m³
# Relative energy among the computed polymorphs = 0.0 meV per atom
data_K2LaSi2
_chemical_formula_sum 'K2 La1 Si2'
_cell_length_a 8.045
_cell_length_b 8.045
_cell_length_c 8.045
_cell_angle_alpha 147.68
_cell_angle_beta 147.68
_cell_angle_gamma 46.36
_symmetry_space_group_name_H-M 'P 1'
_symmetry_Int_Tables_number 1
loop_
_symmetry_equiv_pos_as_xyz
'x,y,z'
loop_
_atom_site_label
_atom_site_type_symbol
_atom_site_fract_x
_atom_site_fract_y
_atom_site_fract_z
K1 K 0.250 0.750 0.500
K2 K 0.750 0.250 0.500
La1 La 0.000 0.000 0.000
Si1 Si 0.422 0.422 0.000
Si2 Si 0.578 0.578 0.000


Record 6
# Mn5V4Ga | the Alexandria database | PBE-GGA | optimized geometry
# Magnetic moment = 1.6 Bohr magnetons per cell
# Energy of formation from the pure elements = -231 meV/atom
# Raw total energy = -8.766 eV/atom
# Calculated density = 7.5 Mg/m³
data_Mn5V4Ga
_chemical_formula_sum 'Mn5 V4 Ga1'
_cell_length_a 2.899
_cell_length_b 2.899
_cell_length_c 14.353
_cell_angle_alpha 90.00
_cell_angle_beta 90.00
_cell_angle_gamma 90.00
_symmetry_space_group_name_H-M 'P 1'
_symmetry_Int_Tables_number 1
loop_
_symmetry_equiv_pos_as_xyz
'x,y,z'
loop_
_atom_site_label
_atom_site_type_symbol
_atom_site_fract_x
_atom_site_fract_y
_atom_site_fract_z
Mn1 Mn 0.000 0.000 0.000
Mn2 Mn 0.000 0.000 0.198
Mn3 Mn 0.000 0.000 0.393
Mn4 Mn 0.000 0.000 0.607
Mn5 Mn 0.000 0.000 0.802
V1 V 0.500 0.500 0.101
V2 V 0.500 0.500 0.302
V3 V 0.500 0.500 0.698
V4 V 0.500 0.500 0.899
Ga1 Ga 0.500 0.500 0.500


Record 7
# Li2La2TbCd5 | the Alexandria database | PBE-GGA | optimized geometry
# Magnetic moment = 0.0 Bohr magnetons per cell
# Energy of formation from the pure elements = -298 meV/atom
# Raw total energy = -2.586 eV/atom
# Calculated density = 6.8 Mg/m³
data_Li2La2TbCd5
_chemical_formula_sum 'Li4 La4 Tb2 Cd10'
_cell_length_a 10.984
_cell_length_b 10.984
_cell_length_c 4.103
_cell_angle_alpha 90.00
_cell_angle_beta 90.00
_cell_angle_gamma 90.00
_symmetry_space_group_name_H-M 'P 1'
_symmetry_Int_Tables_number 1
loop_
_symmetry_equiv_pos_as_xyz
'x,y,z'
loop_
_atom_site_label
_atom_site_type_symbol
_atom_site_fract_x
_atom_site_fract_y
_atom_site_fract_z
Li1 Li 0.114 0.386 0.000
Li2 Li 0.386 0.886 0.000
Li3 Li 0.614 0.114 0.000
Li4 Li 0.886 0.614 0.000
La1 La 0.181 0.681 0.000
La2 La 0.319 0.181 0.000
La3 La 0.681 0.819 0.000
La4 La 0.819 0.319 0.000
Tb1 Tb 0.000 0.000 0.000
Tb2 Tb 0.500 0.500 0.000
Cd1 Cd 0.000 0.500 0.500
Cd2 Cd 0.058 0.214 0.500
Cd3 Cd 0.214 0.942 0.500
Cd4 Cd 0.286 0.442 0.500
Cd5 Cd 0.442 0.714 0.500
Cd6 Cd 0.500 0.000 0.500
Cd7 Cd 0.558 0.286 0.500
Cd8 Cd 0.714 0.558 0.500
Cd9 Cd 0.786 0.058 0.500
Cd10 Cd 0.942 0.786 0.500


Record 8
# LiCaBiTe3 | the Alexandria database | PBE-GGA | optimized geometry
# Magnetic moment = 0.0 Bohr magnetons per cell
# Raw formation energy = -0.83 eV/atom
# Raw total energy = -3.699 eV/atom
# Calculated density = 5.6 Mg/m³
data_LiCaBiTe3
_chemical_formula_sum 'Li2 Ca2 Bi2 Te6'
_cell_length_a 9.221
_cell_length_b 4.415
_cell_length_c 9.604
_cell_angle_alpha 90.00
_cell_angle_beta 102.43
_cell_angle_gamma 90.00
_symmetry_space_group_name_H-M 'P 1'
_symmetry_Int_Tables_number 1
loop_
_symmetry_equiv_pos_as_xyz
'x,y,z'
loop_
_atom_site_label
_atom_site_type_symbol
_atom_site_fract_x
_atom_site_fract_y
_atom_site_fract_z
Li1 Li 0.085 0.250 0.088
Li2 Li 0.915 0.750 0.912
Ca1 Ca 0.184 0.250 0.744
Ca2 Ca 0.816 0.750 0.256
Bi1 Bi 0.328 0.750 0.339
Bi2 Bi 0.672 0.250 0.661
Te1 Te 0.099 0.250 0.386
Te2 Te 0.221 0.750 0.997
Te3 Te 0.425 0.750 0.670
Te4 Te 0.575 0.250 0.330
Te5 Te 0.779 0.250 0.003
Te6 Te 0.901 0.750 0.614


Record 9
# BBr | the Alexandria database | PBE-GGA | optimized geometry
# Magnetic moment = 0.0 Bohr magnetons per cell
# Raw formation energy = -0.33 eV/atom
# Raw total energy = -4.501 eV/atom
# Calculated density = 2.5 Mg/m³
# Relative energy among the computed polymorphs = 0.0 meV per atom
data_BBr
_chemical_formula_sum 'B18 Br18'
_cell_length_a 10.207
_cell_length_b 10.234
_cell_length_c 10.285
_cell_angle_alpha 87.22
_cell_angle_beta 87.18
_cell_angle_gamma 86.94
_symmetry_space_group_name_H-M 'P 1'
_symmetry_Int_Tables_number 1
loop_
_symmetry_equiv_pos_as_xyz
'x,y,z'
loop_
_atom_site_label
_atom_site_type_symbol
_atom_site_fract_x
_atom_site_fract_y
_atom_site_fract_z
B1 B 0.000 0.000 0.000
B2 B 0.000 0.129 0.870
B3 B 0.036 0.965 0.836
B4 B 0.218 0.551 0.413
B5 B 0.250 0.385 0.383
B6 B 0.255 0.512 0.251
B7 B 0.360 0.495 0.491
B8 B 0.365 0.621 0.360
B9 B 0.383 0.380 0.256
B10 B 0.414 0.347 0.421
B11 B 0.422 0.543 0.218
B12 B 0.493 0.489 0.365
B13 B 0.760 0.021 0.891
B14 B 0.835 0.165 0.836
B15 B 0.835 0.966 0.035
B16 B 0.870 0.130 0.000
B17 B 0.890 0.020 0.762
B18 B 0.890 0.891 0.891
Br1 Br 0.063 0.634 0.486
Br2 Br 0.118 0.260 0.417
Br3 Br 0.129 0.547 0.119
Br4 Br 0.129 0.966 0.129
Br5 Br 0.130 0.258 0.836
Br6 Br 0.191 0.886 0.760
Br7 Br 0.379 0.519 0.674
Br8 Br 0.389 0.805 0.378
Br9 Br 0.417 0.247 0.131
Br10 Br 0.487 0.192 0.503
Br11 Br 0.504 0.615 0.065
Br12 Br 0.576 0.000 0.869
Br13 Br 0.677 0.506 0.389
Br14 Br 0.757 0.890 0.189
Br15 Br 0.758 0.320 0.758
Br16 Br 0.836 0.260 0.127
Br17 Br 0.869 0.707 0.871
Br18 Br 0.869 0.998 0.579


Record 10
# La4Y3ErSe8 | the Alexandria database | PBE-GGA | optimized geometry
# Magnetic moment = 0.0 Bohr magnetons per cell
# Raw formation energy = -1.88 eV/atom
# Raw total energy = -6.350 eV/atom
# Calculated density = 6.5 Mg/m³
data_La4Y3ErSe8
_chemical_formula_sum 'La4 Y3 Er1 Se8'
_cell_length_a 8.448
_cell_length_b 8.448
_cell_length_c 8.448
_cell_angle_alpha 59.04
_cell_angle_beta 59.04
_cell_angle_gamma 59.04
_symmetry_space_group_name_H-M 'P 1'
_symmetry_Int_Tables_number 1
loop_
_symmetry_equiv_pos_as_xyz
'x,y,z'
loop_
_atom_site_label
_atom_site_type_symbol
_atom_site_fract_x
_atom_site_fract_y
_atom_site_fract_z
La1 La 0.000 0.000 0.000
La2 La 0.000 0.500 0.500
La3 La 0.500 0.000 0.500
La4 La 0.500 0.500 0.000
Y1 Y 0.000 0.000 0.500
Y2 Y 0.000 0.500 0.000
Y3 Y 0.500 0.000 0.000
Er1 Er 0.500 0.500 0.500
Se1 Se 0.244 0.244 0.244
Se2 Se 0.246 0.742 0.742
Se3 Se 0.258 0.258 0.754
Se4 Se 0.258 0.754 0.258
Se5 Se 0.742 0.246 0.742
Se6 Se 0.742 0.742 0.246
Se7 Se 0.754 0.258 0.258
Se8 Se 0.756 0.756 0.756


Record 11
# LiZr2PN | the Alexandria database | PBE-GGA | optimized geometry
# Magnetic moment = 0.0 Bohr magnetons per cell
# Raw formation energy = 0.54 eV/atom
# Raw total energy = -6.013 eV/atom
# Calculated density = 4.1 Mg/m³
data_LiZr2PN
_chemical_formula_sum 'Li1 Zr2 P1 N1'
_cell_length_a 4.870
_cell_length_b 4.870
_cell_length_c 3.986
_cell_angle_alpha 90.00
_cell_angle_beta 90.00
_cell_angle_gamma 90.00
_symmetry_space_group_name_H-M 'P 1'
_symmetry_Int_Tables_number 1
loop_
_symmetry_equiv_pos_as_xyz
'x,y,z'
loop_
_atom_site_label
_atom_site_type_symbol
_atom_site_fract_x
_atom_site_fract_y
_atom_site_fract_z
Li1 Li 0.000 0.000 0.000
Zr1 Zr 0.000 0.500 0.500
Zr2 Zr 0.500 0.000 0.500
P1 P 0.000 0.000 0.500
N1 N 0.500 0.500 0.000